Record 1
First-principles (PBE) data for an optimized crystal structure of CePaPt2, as listed in Alexandria via LeMat-Bulk.

Unit cell a=4.3784 b=7.8915 c=7.6651 alpha=135.56 beta=90.00 gamma=90.00
Positions (direct):
Pa (0.2500, 0.2293, 0.5466)
Pa (0.7500, 0.7707, 0.4534)
Pt (0.7500, 0.3170, 0.3711)
Pt (0.2500, 0.7000, 0.1604)
Pt (0.7500, 0.3000, 0.8396)
Pt (0.2500, 0.6830, 0.6289)
Ce (0.2500, 0.2186, 0.0382)
Ce (0.7500, 0.7814, 0.9618)

Space group: P2_1/m, No. 11
ΔE to the lowest computed polymorph, eV/f.u.: 0.00


Record 2
First-principles (PBE) data for an optimized crystal structure of KCeThS4, as listed in Alexandria via LeMat-Bulk.

Unit cell a=8.6654 b=8.6107 c=8.6091 alpha=119.99 beta=90.00 gamma=120.21
Positions (direct):
K (0.1274, 0.2548, 0.8774)
K (0.8726, 0.7452, 0.1226)
Th (0.5000, 0.0000, 0.0000)
Th (0.5000, 0.0000, 0.5000)
S (0.2775, 0.9727, 0.7363)
S (0.3048, 0.0273, 0.2637)
S (0.7225, 0.0273, 0.2637)
S (0.7276, 0.4552, 0.2634)
S (0.6952, 0.9727, 0.7363)
S (0.7276, 0.4552, 0.6918)
S (0.2724, 0.5448, 0.7366)
S (0.2724, 0.5448, 0.3082)
Ce (0.5000, 0.5000, 0.5000)
Ce (0.0000, 0.5000, 0.5000)

Space group: Imma, No. 74
ΔE_f (raw), eV/atom: -1.8356


Record 3
First-principles (PBE) data for an optimized crystal structure of Tb6SmIn2, as listed in Alexandria via LeMat-Bulk.

Unit cell a=4.7870 b=6.0173 c=10.4545 alpha=73.81 beta=76.76 gamma=66.56
Positions (direct):
Tb (0.6709, 0.2125, 0.4458)
Tb (0.3291, 0.7875, 0.5542)
Tb (0.6721, 0.5438, 0.1120)
Tb (0.0063, 0.6602, 0.3272)
Tb (0.3279, 0.4562, 0.8880)
Tb (0.9937, 0.3398, 0.6728)
In (0.3373, 0.1064, 0.2190)
In (0.6627, 0.8936, 0.7810)
Sm (0.0000, 0.0000, 0.0000)

Space group: C2/m, No. 12
ΔE to the lowest computed polymorph, eV/f.u.: 0.00


Record 4
First-principles (PBE) data for an optimized crystal structure of InP2ClF, as listed in Alexandria via LeMat-Bulk.

Unit cell a=5.1984 b=5.1984 c=5.0531 alpha=90.00 beta=90.00 gamma=90.00
Positions (direct):
P (0.0000, 0.5000, 0.0000)
P (0.5000, 0.0000, 0.0000)
In (0.0000, 0.0000, 0.0000)
Cl (0.0000, 0.0000, 0.5000)
F (0.5000, 0.5000, 0.5000)

Space group: P4/mmm, No. 123
ΔE to the lowest computed polymorph, eV/f.u.: 1.89
ΔE_f (raw), eV/atom: 0.6086


Record 5
First-principles (PBE) data for an optimized crystal structure of Ag2OsSeCl, as listed in Alexandria via LeMat-Bulk.

Unit cell a=5.3108 b=4.2836 c=5.3108 alpha=90.00 beta=90.00 gamma=90.00
Positions (direct):
Ag (0.0000, 0.0000, 0.5000)
Ag (0.5000, 0.0000, 0.0000)
Cl (0.0000, 0.5000, 0.0000)
Os (0.0000, 0.0000, 0.0000)
Se (0.5000, 0.5000, 0.5000)

Space group: P4/mmm, No. 123
ΔE_f (raw), eV/atom: 0.9911


Record 6
First-principles (PBE) data for an optimized crystal structure of Dy8Te4P3Pt, as listed in Alexandria via LeMat-Bulk.

Unit cell a=8.3135 b=8.5014 c=8.3133 alpha=119.28 beta=120.00 gamma=90.00
Positions (direct):
Dy (0.2633, 0.2899, 0.5266)
Dy (0.7366, 0.7126, 0.9746)
Dy (0.7620, 0.2874, 0.0254)
Dy (0.2380, 0.7126, 0.4760)
Dy (0.2634, 0.2874, 0.0254)
Dy (0.2380, 0.7126, 0.9746)
Dy (0.7620, 0.2874, 0.5240)
Dy (0.7367, 0.7101, 0.4734)
Te (0.5000, 0.0000, 0.0000)
Te (0.5000, 0.0000, 0.5000)
Te (0.0000, 0.0000, 0.0000)
Te (0.0000, 0.0000, 0.5000)
P (0.5000, 0.5000, 0.0000)
P (0.0000, 0.5000, 0.5000)
P (0.5000, 0.5000, 0.5000)
Pt (0.0000, 0.5000, 0.0000)

Space group: R-3m, No. 166
ΔE_f (raw), eV/atom: -1.4531


Record 7
First-principles (PBE) data for an optimized crystal structure of Pr6Dy7Ho16, as listed in Alexandria via LeMat-Bulk.

Unit cell a=11.1753 b=11.1753 c=11.1753 alpha=60.00 beta=60.00 gamma=60.00
Positions (direct):
Ho (0.3823, 0.8726, 0.8726)
Ho (0.6177, 0.1274, 0.1274)
Ho (0.3491, 0.3491, 0.3491)
Ho (0.3491, 0.3491, 0.9528)
Ho (0.1274, 0.1274, 0.6177)
Ho (0.6509, 0.6509, 0.6509)
Ho (0.8726, 0.3823, 0.8726)
Ho (0.0472, 0.6509, 0.6509)
Ho (0.8726, 0.8726, 0.8726)
Ho (0.1274, 0.1274, 0.1274)
Ho (0.6509, 0.6509, 0.0472)
Ho (0.6509, 0.0472, 0.6509)
Ho (0.9528, 0.3491, 0.3491)
Ho (0.8726, 0.8726, 0.3823)
Ho (0.1274, 0.6177, 0.1274)
Ho (0.3491, 0.9528, 0.3491)
Pr (0.2703, 0.7297, 0.7297)
Pr (0.7297, 0.7297, 0.2703)
Pr (0.7297, 0.2703, 0.2703)
Pr (0.2703, 0.7297, 0.2703)
Pr (0.7297, 0.2703, 0.7297)
Pr (0.2703, 0.2703, 0.7297)
Dy (0.0000, 0.0000, 0.5000)
Dy (0.5000, 0.5000, 0.0000)
Dy (0.0000, 0.5000, 0.0000)
Dy (0.0000, 0.0000, 0.0000)
Dy (0.5000, 0.0000, 0.0000)
Dy (0.5000, 0.0000, 0.5000)
Dy (0.0000, 0.5000, 0.5000)

Space group: Fm-3m, No. 225
Uncorrected energy, eV for the cell shown: -127.3


Record 8
First-principles (PBE) data for an optimized crystal structure of InTc3Cl, as listed in Alexandria via LeMat-Bulk.

Unit cell a=4.3974 b=4.3974 c=4.3974 alpha=90.00 beta=90.00 gamma=90.00
Positions (direct):
Tc (0.0000, 0.0000, 0.5000)
Tc (0.5000, 0.0000, 0.0000)
Tc (0.0000, 0.5000, 0.0000)
Cl (0.0000, 0.0000, 0.0000)
In (0.5000, 0.5000, 0.5000)

Space group: Pm-3m, No. 221
ΔE to the lowest computed polymorph, eV/f.u.: 0.00
ΔE_f (raw), eV/atom: 0.9458


Record 9
First-principles (PBE) data for an optimized crystal structure of NaScTe2O8, as listed in Alexandria via LeMat-Bulk.

Unit cell a=5.9508 b=5.9508 c=6.4476 alpha=90.00 beta=90.00 gamma=120.00
Positions (direct):
O (0.3215, 0.1608, 0.7837)
O (0.1608, 0.8392, 0.2163)
O (0.3333, 0.6667, 0.8483)
O (0.8392, 0.1608, 0.7837)
O (0.1608, 0.3215, 0.2163)
O (0.6785, 0.8392, 0.2163)
O (0.8392, 0.6785, 0.7837)
O (0.6667, 0.3333, 0.1517)
Na (0.0000, 0.0000, 0.5000)
Sc (0.0000, 0.0000, 0.0000)
Te (0.6667, 0.3333, 0.8721)
Te (0.3333, 0.6667, 0.1279)

Space group: P-3m1, No. 164
ΔE_f (raw), eV/atom: -1.3893


Record 10
First-principles (PBE) data for an optimized crystal structure of AcPbI2, as listed in Alexandria via LeMat-Bulk.

Unit cell a=4.0516 b=4.0516 c=11.7625 alpha=80.08 beta=80.08 gamma=60.00
Positions (direct):
Pb (0.0000, 0.0000, 0.0000)
I (0.9041, 0.9041, 0.2876)
I (0.0959, 0.0959, 0.7124)
Ac (0.5000, 0.5000, 0.5000)

Space group: R-3m, No. 166
ΔE_f (raw), eV/atom: -0.7560


Record 11
First-principles (PBE) data for an optimized crystal structure of Pm3Dy3Er, as listed in Alexandria via LeMat-Bulk.

Unit cell a=6.2145 b=6.2145 c=14.7802 alpha=77.86 beta=77.86 gamma=60.00
Positions (direct):
Er (0.6667, 0.6667, 0.0000)
Er (0.3333, 0.3333, 0.0000)
Pm (0.4623, 0.8003, 0.6062)
Pm (0.8687, 0.5377, 0.3938)
Pm (0.1997, 0.8687, 0.3938)
Pm (0.5377, 0.1997, 0.3938)
Pm (0.1313, 0.4623, 0.6062)
Pm (0.8003, 0.1313, 0.6062)
Dy (0.2689, 0.6018, 0.1937)
Dy (0.7311, 0.3982, 0.8063)
Dy (0.6018, 0.9356, 0.1937)
Dy (0.3982, 0.0644, 0.8063)
Dy (0.9356, 0.2689, 0.1937)
Dy (0.0644, 0.7311, 0.8063)

Space group: R-3, No. 148
ΔE to the lowest computed polymorph, eV/f.u.: 0.99


Record 12
First-principles (PBE) data for an optimized crystal structure of Ba2AcPt2I2, as listed in Alexandria via LeMat-Bulk.

Unit cell a=5.6642 b=5.6642 c=9.8674 alpha=106.68 beta=106.68 gamma=90.00
Positions (direct):
I (0.1882, 0.1882, 0.3764)
I (0.8118, 0.8118, 0.6236)
Pt (0.0000, 0.5000, 0.0000)
Pt (0.5000, 0.0000, 0.0000)
Ba (0.3871, 0.3871, 0.7743)
Ba (0.6129, 0.6129, 0.2257)
Ac (0.0000, 0.0000, 0.0000)

Space group: I4/mmm, No. 139
ΔE_f (raw), eV/atom: -1.1202